(1)
A plane-wave DFT calculation with PBE was carried out for crystalline ZrTe2S6 at its relaxed geometry.

Lattice parameters (Å, degrees): 7.116 7.116 11.374 118.59 118.59 30.77
Positions (direct):
Zr 0.000 0.000 0.000
Te 0.334 0.334 0.669
Te 0.666 0.666 0.331
S 0.006 0.006 0.231
S 0.324 0.324 0.425
S 0.349 0.349 0.909
S 0.651 0.651 0.091
S 0.676 0.676 0.575
S 0.994 0.994 0.769

Values from the calculation:
Calculated volume   28.42 Å³ per atom
Symmetry   C2/m, No. 12
Raw formation energy   -0.444 eV per atom

***

(2)
A plane-wave DFT calculation with PBE was carried out for crystalline ZrTeS3 at its relaxed geometry.

Lattice parameters (Å, degrees): 4.982 4.982 4.982 90.00 90.00 90.00
Positions (direct):
Zr 0.000 0.000 0.000
Te 0.500 0.500 0.500
S 0.000 0.000 0.500
S 0.000 0.500 0.000
S 0.500 0.000 0.000

Values from the calculation:
Calculated volume   24.74 Å³ per atom
Symmetry   Pm-3m, No. 221
Raw formation energy   -0.297 eV per atom
Fermi-level density of states   3.39 states/eV per cell
Energy above the lowest structure with this stoichiometry   0 meV per atom

***

(3)
A plane-wave DFT calculation with PBE was carried out for crystalline Th4S3 at its relaxed geometry.

Lattice parameters (Å, degrees): 13.821 13.821 13.821 16.23 16.23 16.23
Positions (direct):
Th 0.124 0.124 0.124
Th 0.371 0.371 0.371
Th 0.629 0.629 0.629
Th 0.876 0.876 0.876
S 0.252 0.252 0.252
S 0.500 0.500 0.500
S 0.748 0.748 0.748

Values from the calculation:
Calculated volume   25.69 Å³ per atom
Symmetry   R-3m, No. 166
Raw formation energy   -1.474 eV per atom
Fermi-level density of states   4.72 states/eV per cell

***

(4)
A plane-wave DFT calculation with PBE was carried out for crystalline ThS2 at its relaxed geometry.

Lattice parameters (Å, degrees): 7.280 4.300 8.651 90.00 90.00 90.00
Positions (direct):
Th 0.250 0.250 0.117
Th 0.250 0.750 0.617
Th 0.750 0.250 0.383
Th 0.750 0.750 0.883
S 0.028 0.250 0.835
S 0.139 0.250 0.429
S 0.361 0.750 0.929
S 0.472 0.750 0.335
S 0.528 0.250 0.665
S 0.639 0.250 0.071
S 0.861 0.750 0.571
S 0.972 0.750 0.165

Values from the calculation:
Calculated volume   22.57 Å³ per atom
Symmetry   Pnma, No. 62
Raw formation energy   -1.988 eV per atom

***

(5)
A plane-wave DFT calculation with PBE was carried out for crystalline Th2S3 at its relaxed geometry.

Lattice parameters (Å, degrees): 4.353 4.353 7.450 90.00 90.00 120.00
Positions (direct):
Th 0.333 0.667 0.209
Th 0.667 0.333 0.791
S 0.000 0.000 0.000
S 0.333 0.667 0.628
S 0.667 0.333 0.372

Values from the calculation:
Calculated volume   24.45 Å³ per atom
Symmetry   P-3m1, No. 164
Raw formation energy   -1.809 eV per atom
Fermi-level density of states   3.68 states/eV per cell

***

(6)
A plane-wave DFT calculation with PBE was carried out for crystalline ThS2 at its relaxed geometry.

Lattice parameters (Å, degrees): 6.676 6.676 6.676 90.00 90.00 90.00
Positions (direct):
Th 0.000 0.000 0.000
Th 0.000 0.500 0.500
Th 0.500 0.000 0.500
Th 0.500 0.500 0.000
S 0.250 0.250 0.250
S 0.250 0.250 0.750
S 0.250 0.750 0.250
S 0.250 0.750 0.750
S 0.750 0.250 0.250
S 0.750 0.250 0.750
S 0.750 0.750 0.250
S 0.750 0.750 0.750

Values from the calculation:
Calculated volume   24.79 Å³ per atom
Symmetry   Fm-3m, No. 225
Raw formation energy   -2.018 eV per atom
Fermi-level density of states   0.00 states/eV per cell

***

(7)
A plane-wave DFT calculation with PBE was carried out for crystalline Th2S3 at its relaxed geometry.

Lattice parameters (Å, degrees): 10.880 3.940 10.889 90.00 90.00 90.00
Positions (direct):
Th 0.015 0.250 0.184
Th 0.195 0.250 0.513
Th 0.305 0.750 0.013
Th 0.485 0.750 0.684
Th 0.515 0.250 0.316
Th 0.695 0.250 0.987
Th 0.805 0.750 0.487
Th 0.985 0.750 0.816
S 0.052 0.750 0.376
S 0.125 0.250 0.944
S 0.222 0.750 0.703
S 0.278 0.250 0.203
S 0.375 0.750 0.444
S 0.448 0.250 0.876
S 0.552 0.750 0.124
S 0.625 0.250 0.556
S 0.722 0.750 0.797
S 0.778 0.250 0.297
S 0.875 0.750 0.056
S 0.948 0.250 0.624

Values from the calculation:
Calculated volume   23.34 Å³ per atom
Symmetry   Pnma, No. 62
Raw formation energy   -1.956 eV per atom
Fermi-level density of states   12.59 states/eV per cell

***

(8)
A plane-wave DFT calculation with PBE was carried out for crystalline Th3S5 at its relaxed geometry.

Lattice parameters (Å, degrees): 8.040 8.040 6.726 90.00 90.00 120.00
Positions (direct):
Th 0.000 0.396 0.250
Th 0.000 0.604 0.750
Th 0.396 0.000 0.250
Th 0.396 0.396 0.750
Th 0.604 0.000 0.750
Th 0.604 0.604 0.250
S 0.000 0.256 0.750
S 0.000 0.744 0.250
S 0.256 0.000 0.750
S 0.256 0.256 0.250
S 0.333 0.667 0.000
S 0.333 0.667 0.500
S 0.667 0.333 0.000
S 0.667 0.333 0.500
S 0.744 0.000 0.250
S 0.744 0.744 0.750

Values from the calculation:
Calculated volume   23.53 Å³ per atom
Symmetry   P6_3/mcm, No. 193
Raw formation energy   -1.849 eV per atom
Fermi-level density of states   9.78 states/eV per cell